Entry 1:
First-principles (PBE-GGA) data for a relaxed structure of ZrNb2ZnH, as listed in Alexandria via LeMat-Bulk.

```
5
Lattice="-0.811 1.481 3.724 -3.844 -1.364 -0.295 1.262 -3.956 1.847" Properties=species:S:1:pos:R:3 pbc="T T T"
Nb -1.922 -0.682 -0.147
H 0.000 0.000 0.000
Zr 0.631 -1.978 0.924
Nb -0.406 0.740 1.862
Zn -1.696 -1.920 2.639
```

**Energy above the lowest structure with this stoichiometry**: 0 meV/atom

Entry 2:
First-principles (PBE-GGA) data for a relaxed structure of NdY3Bi4, as listed in Alexandria via LeMat-Bulk.

```
8
Lattice="-1.808 0.964 -4.028 1.826 -7.169 -2.535 -7.143 -0.099 3.182" Properties=species:S:1:pos:R:3 pbc="T T T"
Bi -1.358 -1.857 0.165
Y -3.562 -3.152 -1.690
Y -3.571 -0.050 1.591
Bi -1.344 -4.901 -3.104
Bi -5.780 -1.404 -0.276
Y 0.913 -3.584 -1.267
Bi -3.959 -5.412 0.482
Nd -0.904 0.482 -2.014
```

**DFT formation energy**: -0.907 eV/atom

Entry 3:
First-principles (PBE-GGA) data for a relaxed structure of UCdAu2, as listed in Alexandria via LeMat-Bulk.

```
4
Lattice="-2.935 0.058 0.425 0.219 -4.913 2.186 0.746 2.194 4.857" Properties=species:S:1:pos:R:3 pbc="T T T"
Au 0.109 -2.457 1.093
Cd -1.467 0.029 0.212
Au 0.373 1.097 2.429
U -0.985 -1.330 3.734
```

**DFT formation energy**: -0.058 eV/atom

Entry 4:
First-principles (PBE-GGA) data for a relaxed structure of CaErZnPd, as listed in Alexandria via LeMat-Bulk.

```
4
Lattice="-3.849 2.716 1.669 -4.671 -1.233 -1.283 -3.109 -1.907 3.417" Properties=species:S:1:pos:R:3 pbc="T T T"
Pd -5.814 -0.212 1.902
Ca -2.907 -0.106 0.951
Er -8.722 -0.317 2.852
Zn 0.000 0.000 0.000
```

**DFT formation energy**: -0.512 eV/atom
**Energy above the lowest structure with this stoichiometry**: 58 meV/atom

Entry 5:
First-principles (PBE-GGA) data for a relaxed structure of AlHgPt2, as listed in Alexandria via LeMat-Bulk.

```
4
Lattice="-3.659 0.953 1.267 -1.923 0.244 3.484 1.083 6.471 1.222" Properties=species:S:1:pos:R:3 pbc="T T T"
Pt -2.367 3.538 2.984
Pt -5.464 1.493 4.754
Al -1.125 1.917 1.493
Hg -3.374 5.751 4.479
```

**DFT formation energy**: -0.414 eV/atom
**Energy above the lowest structure with this stoichiometry**: 175 meV/atom

Entry 6:
First-principles (PBE-GGA) data for a relaxed structure of HoEr3C2, as listed in Alexandria via LeMat-Bulk.

```
12
Lattice="11.442 3.148 4.784 7.573 9.137 4.783 4.164 2.691 5.397" Properties=species:S:1:pos:R:3 pbc="T T T"
Ho 17.522 11.321 11.265
Ho 5.656 3.655 3.699
Er 8.028 5.187 6.486
C 5.721 1.574 2.392
Er 15.150 9.789 8.478
Er 13.751 6.760 8.875
Er 11.364 5.218 6.089
C 0.000 0.000 0.000
Er 11.814 9.757 8.875
C 3.786 4.568 2.392
Er 9.428 8.216 6.089
C 9.507 6.143 4.784
```

**DFT formation energy**: -0.318 eV/atom

Entry 7:
First-principles (PBE-GGA) data for a relaxed structure of Ac2TbTl, as listed in Alexandria via LeMat-Bulk.

```
4
Lattice="5.182 0.000 0.000 0.000 5.231 0.000 0.000 0.000 5.231" Properties=species:S:1:pos:R:3 pbc="T T T"
Ac 0.000 0.000 2.615
Tb 2.591 2.615 2.615
Ac 0.000 2.615 0.000
Tl 2.591 0.000 0.000
```

**DFT formation energy**: -0.100 eV/atom
**Energy above the lowest structure with this stoichiometry**: 7 meV/atom

Entry 8:
First-principles (PBE-GGA) data for a relaxed structure of Tb7SmTl4, as listed in Alexandria via LeMat-Bulk.

```
12
Lattice="-2.968 4.106 -2.733 -5.744 3.953 6.113 2.902 7.197 1.598" Properties=species:S:1:pos:R:3 pbc="T T T"
Tb -2.856 4.594 3.940
Tl -2.739 2.883 1.244
Tl -4.506 7.434 3.935
Tl -3.071 12.372 3.733
Tb -2.361 9.430 4.604
Tb -1.484 2.053 -1.367
Tb -2.954 10.662 1.037
Tl -1.305 7.821 1.042
Tb -5.848 10.583 4.062
Sm 0.000 0.000 0.000
Tb -3.449 5.826 0.373
Tb 0.038 4.672 0.915
```

**DFT formation energy**: -0.030 eV/atom

| no. | N(E_F) (states/eV/cell) |
| --- | --- |
| 1 | 3.4 |
| 2 | 1.2 |
| 3 | 6.0 |
| 4 | 3.5 |
| 5 | 1.6 |
| 6 | 8.0 |
| 7 | 7.1 |
| 8 | 13.0 |